No. 1
TbTm4Al5 | GGA-PBE | optimized geometry

## Properties
DFT total energy	-4.511	eV per atom
D(E_F)	5.06	states/eV/f.u.
density	7.117	g cm⁻³
size of the total moment	0.00	μB per formula unit

abc: 3.5494 3.5494 17.9559
angles: 90.00 90.00 90.00
With the nearest neighbours (Å) after each atom.
Positions (direct):
Tb 0.0000 0.0000 0.0000  8 Al 3.13
Tm 0.0000 0.0000 0.2033  8 Al 3.07
Tm 0.0000 0.0000 0.4012  8 Al 3.07-3.08
Tm 0.0000 0.0000 0.5988  8 Al 3.07-3.08
Tm 0.0000 0.0000 0.7967  8 Al 3.07
Al 0.5000 0.5000 0.1045  4 Tm 3.07, 4 Tb 3.13
Al 0.5000 0.5000 0.3021  8 Tm 3.07-3.08
Al 0.5000 0.5000 0.5000  8 Tm 3.07
Al 0.5000 0.5000 0.6979  8 Tm 3.07-3.08
Al 0.5000 0.5000 0.8955  4 Tm 3.07, 4 Tb 3.13

---

No. 2
Tb4TmAl2 | GGA-PBE | optimized geometry

## Properties
DFT total energy	-4.247	eV per atom
D(E_F)	10.19	states/eV/f.u.
density	6.482	g cm⁻³
size of the total moment	0.00	μB per formula unit
polymorph energy (0 for the lowest one)	1.278	eV per formula unit

abc: 10.4459 10.4459 10.4459
angles: 27.87 27.87 27.87
With the nearest neighbours (Å) after each atom.
Positions (direct):
Tb 0.1035 0.1035 0.1035  3 Al 3.10
Tb 0.2978 0.2978 0.2978  4 Al 3.06-3.10
Tb 0.7022 0.7022 0.7022  4 Al 3.06-3.10
Tb 0.8965 0.8965 0.8965  3 Al 3.10
Tm 0.5000 0.5000 0.5000  2 Al 2.98
Al 0.4010 0.4010 0.4010  1 Tm 2.98, 7 Tb 3.06-3.10
Al 0.5990 0.5990 0.5990  1 Tm 2.98, 7 Tb 3.06-3.10

---

- Which value of D(E_F) does entry 2 give?
  10.19 states/eV/f.u.